*one*
Ag3GeTe | Alexandria via LeMat-Bulk | GGA-PBE | relaxed; calculated density = 7.08 Mg/m³; density of states at the Fermi level = 1.130 states/eV per atom; total magnetic moment = 0.00 μB per cell
1.0
4.970 0.000 0.000
0.000 4.970 0.000
0.000 0.000 4.970
Ag Ge Te
3 1 1
direct
0.000 0.000 0.500
0.000 0.500 0.000
0.500 0.000 0.000
0.000 0.000 0.000
0.500 0.500 0.500

*two*
Ag3GeTe | Alexandria via LeMat-Bulk | GGA-PBE | relaxed; calculated density = 5.88 Mg/m³; density of states at the Fermi level = 0.770 states/eV per atom; total magnetic moment = 0.00 μB per cell
1.0
5.288 0.000 0.000
0.000 5.288 0.000
0.000 0.000 5.288
Ag Ge Te
3 1 1
direct
0.000 0.000 0.500
0.000 0.500 0.000
0.500 0.000 0.000
0.500 0.500 0.500
0.000 0.000 0.000

Relative energies, meV per atom: *one* 0; *two* 243.